# NaRePd (GGA-PBE, relaxed)
# ΔE_f: 0.40 eV per atom
# energy relative to the lowest polymorph listed for this composition: 0.156 eV/atom
data_NaRePd
_cell_length_a 5.731
_cell_length_b 7.724
_cell_length_c 2.735
_cell_angle_alpha 90.00
_cell_angle_beta 103.82
_cell_angle_gamma 107.07
_symmetry_space_group_name_H-M 'P 1'
_symmetry_Int_Tables_number 1
loop_
_symmetry_equiv_pos_as_xyz
'x,y,z'
loop_
_atom_site_label
_atom_site_type_symbol
_atom_site_fract_x
_atom_site_fract_y
_atom_site_fract_z
Re1 Re 0.823 0.344 0.456
Re2 Re 0.158 0.561 0.124
Na1 Na 0.379 0.978 0.735
Na2 Na 0.756 0.730 0.422
Pd1 Pd 0.948 0.093 0.018
Pd2 Pd 0.420 0.373 0.755


# NdEr2ZrSc4 (GGA-PBE, relaxed)
# ΔE_f: 0.06 eV per atom
data_NdEr2ZrSc4
_cell_length_a 4.781
_cell_length_b 4.789
_cell_length_c 10.494
_cell_angle_alpha 62.86
_cell_angle_beta 90.00
_cell_angle_gamma 90.00
_symmetry_space_group_name_H-M 'P 1'
_symmetry_Int_Tables_number 1
loop_
_symmetry_equiv_pos_as_xyz
'x,y,z'
loop_
_atom_site_label
_atom_site_type_symbol
_atom_site_fract_x
_atom_site_fract_y
_atom_site_fract_z
Sc1 Sc 0.000 0.763 0.737
Sc2 Sc 0.500 0.737 0.263
Sc3 Sc 0.500 0.263 0.737
Sc4 Sc 0.000 0.237 0.263
Er1 Er 0.000 0.000 0.000
Er2 Er 0.500 0.000 0.500
Zr1 Zr 0.000 0.500 0.500
Nd1 Nd 0.500 0.500 0.000


The highest ΔE_f belongs to which entry?
NaRePd


Which formula does entry 2 have?
NdEr2ZrSc4